# 1
DFT (PBE) results for an optimized crystal structure of NiBi3Sb.

The structure in POSCAR format:
```
NiBi3Sb
1.0
5.786 0.000 0.000
0.000 5.786 0.000
0.000 0.000 5.786
Ni Bi Sb
1 3 1
Cartesian
0.000 0.000 0.000
0.000 2.893 2.893
2.893 0.000 2.893
2.893 2.893 0.000
2.893 2.893 2.893
```

The calculation puts the energy above the lowest structure with this stoichiometry at 999 meV/atom.

# 2
DFT (PBE) results for an optimized crystal structure of ScNiBiSb2.

The structure in POSCAR format:
```
ScNiBiSb2
1.0
5.393 0.000 0.000
0.000 5.393 0.000
0.000 0.000 5.528
Sc Ni Bi Sb
1 1 1 2
Cartesian
0.000 0.000 0.000
2.697 2.697 2.764
0.000 0.000 2.764
0.000 2.697 0.000
2.697 0.000 0.000
```

The total energy is -4.118 eV/atom.

Number 1: total moment 0.0 Bohr magnetons per cell, N(E_F) 3.40 states/eV/cell. Number 2: total moment 0.4 Bohr magnetons per cell, N(E_F) 5.02 states/eV/cell.